The following is a DFT calculation (GGA-PBE) of a geometry-optimized MnTe structure.

Structure (CIF):
```
data_MnTe
_cell_length_a 3.600
_cell_length_b 11.189
_cell_length_c 6.425
_cell_angle_alpha 90.00
_cell_angle_beta 90.00
_cell_angle_gamma 90.00
_space_group_name_H-M_alt 'A m m 2'
_space_group_IT_number 38
loop_
_space_group_symop_operation_xyz
'x,y,z'
'-x,-y,z'
'-x,y,z'
'x,-y,z'
'x,y+1/2,z+1/2'
'-x,-y+1/2,z+1/2'
'-x,y+1/2,z+1/2'
'x,-y+1/2,z+1/2'
loop_
_atom_site_label
_atom_site_type_symbol
_atom_site_fract_x
_atom_site_fract_y
_atom_site_fract_z
_atom_site_occupancy
Mn1 Mn 0.000 0.000 0.000 1
Mn2 Mn 0.500 0.187 0.035 1
Te1 Te 0.000 0.165 0.723 1
Te2 Te 0.500 0.000 0.283 1
```

Results
Electronic total energy   -6.125 eV/atom
Size of the total moment   2.4 μB per formula unit



The following is a DFT calculation (GGA-PBE) of a geometry-optimized MnTe structure.

Structure (CIF):
```
data_MnTe
_cell_length_a 6.651
_cell_length_b 8.774
_cell_length_c 4.576
_cell_angle_alpha 90.00
_cell_angle_beta 90.00
_cell_angle_gamma 90.00
_space_group_name_H-M_alt 'C m m m'
_space_group_IT_number 65
_space_group_name_Hall '-C 2 2'
loop_
_atom_site_label
_atom_site_type_symbol
_atom_site_fract_x
_atom_site_fract_y
_atom_site_fract_z
_atom_site_occupancy
Mn1 Mn 0.000 0.000 0.221 1
Te1 Te 0.000 0.253 0.500 1
```

Results
Electronic total energy   -5.401 eV/atom
Size of the total moment   2.3 μB per formula unit



The following is a DFT calculation (GGA-PBE) of a geometry-optimized Mn2Te structure.

Structure (CIF):
```
data_Mn2Te
_cell_length_a 4.410
_cell_length_b 4.410
_cell_length_c 6.051
_cell_angle_alpha 90.00
_cell_angle_beta 90.00
_cell_angle_gamma 90.00
_space_group_name_H-M_alt 'I 4/m m m'
_space_group_IT_number 139
_space_group_name_Hall '-I 4 2'
loop_
_atom_site_label
_atom_site_type_symbol
_atom_site_fract_x
_atom_site_fract_y
_atom_site_fract_z
_atom_site_occupancy
Mn1 Mn 0.000 0.500 0.250 1
Te1 Te 0.000 0.000 0.000 1
```

Results
Electronic total energy   -6.735 eV/atom
Size of the total moment   6.9 μB per formula unit



The following is a DFT calculation (GGA-PBE) of a geometry-optimized Mn3Te2 structure.

Structure (CIF):
```
data_Mn3Te2
_cell_length_a 8.587
_cell_length_b 13.551
_cell_length_c 6.598
_cell_angle_alpha 90.00
_cell_angle_beta 90.00
_cell_angle_gamma 90.00
_space_group_name_H-M_alt 'F d d 2'
_space_group_IT_number 43
_space_group_name_Hall 'F 2 -2d'
loop_
_atom_site_label
_atom_site_type_symbol
_atom_site_fract_x
_atom_site_fract_y
_atom_site_fract_z
_atom_site_occupancy
Mn1 Mn 0.000 0.000 0.000 1
Mn2 Mn 0.049 0.402 0.138 1
Te1 Te 0.059 0.285 0.596 1
```

Results
Electronic total energy   -6.526 eV/atom
Size of the total moment   10.3 μB per formula unit



The following is a DFT calculation (GGA-PBE) of a geometry-optimized MnTe2 structure.

Structure (CIF):
```
data_MnTe2
_cell_length_a 3.888
_cell_length_b 14.651
_cell_length_c 5.667
_cell_angle_alpha 90.00
_cell_angle_beta 90.00
_cell_angle_gamma 90.00
_space_group_name_H-M_alt 'C m c m'
_space_group_IT_number 63
_space_group_name_Hall '-C 2c 2'
loop_
_atom_site_label
_atom_site_type_symbol
_atom_site_fract_x
_atom_site_fract_y
_atom_site_fract_z
_atom_site_occupancy
Mn1 Mn 0.000 0.174 0.250 1
Te1 Te 0.000 0.196 0.750 1
Te2 Te 0.000 0.449 0.750 1
```

Results
Electronic total energy   -5.288 eV/atom
Size of the total moment   3.2 μB per formula unit



The following is a DFT calculation (GGA-PBE) of a geometry-optimized MnTe structure.

Structure (CIF):
```
data_MnTe
_cell_length_a 11.643
_cell_length_b 11.643
_cell_length_c 4.517
_cell_angle_alpha 90.00
_cell_angle_beta 90.00
_cell_angle_gamma 90.00
_space_group_name_H-M_alt 'I 4/m'
_space_group_IT_number 87
_space_group_name_Hall '-I 4'
loop_
_atom_site_label
_atom_site_type_symbol
_atom_site_fract_x
_atom_site_fract_y
_atom_site_fract_z
_atom_site_occupancy
Mn1 Mn 0.130 0.707 0.000 1
Te1 Te 0.104 0.279 0.000 1
```

Results
Electronic total energy   -6.133 eV/atom
Size of the total moment   5.0 μB per formula unit



The following is a DFT calculation (GGA-PBE) of a geometry-optimized MnTe2 structure.

Structure (CIF):
```
data_MnTe2
_cell_length_a 6.1630
_cell_length_b 6.1630
_cell_length_c 13.1598
_cell_angle_alpha 90.00
_cell_angle_beta 90.00
_cell_angle_gamma 120.00
_space_group_name_H-M_alt 'P 63/m m c'
_space_group_IT_number 194
_space_group_name_Hall '-P 6c 2c'
loop_
_atom_site_label
_atom_site_type_symbol
_atom_site_fract_x
_atom_site_fract_y
_atom_site_fract_z
_atom_site_occupancy
Mn1 Mn 0.3333 0.6667 0.0890 1
Te1 Te 0.0000 0.0000 0.0000 1
Te2 Te 0.1652 0.3304 0.2500 1
```

Results
Electronic total energy   -4.561 eV/atom
Size of the total moment   4.5 μB per formula unit



The following is a DFT calculation (GGA-PBE) of a geometry-optimized Mn2Te structure.

Structure (CIF):
```
data_Mn2Te
_cell_length_a 2.959
_cell_length_b 2.959
_cell_length_c 10.122
_cell_angle_alpha 90.00
_cell_angle_beta 90.00
_cell_angle_gamma 90.00
_space_group_name_H-M_alt 'I 4/m m m'
_space_group_IT_number 139
_space_group_name_Hall '-I 4 2'
loop_
_atom_site_label
_atom_site_type_symbol
_atom_site_fract_x
_atom_site_fract_y
_atom_site_fract_z
_atom_site_occupancy
Mn1 Mn 0.000 0.000 0.186 1
Te1 Te 0.000 0.000 0.500 1
```

Results
Electronic total energy   -6.523 eV/atom
Size of the total moment   0.0 μB per formula unit



Number 1: ΔE_f (raw) 0.1 eV/f.u.. Number 2: ΔE_f (raw) 1.5 eV/f.u.. Number 3: ΔE_f (raw) 1.3 eV/f.u.. Number 4: ΔE_f (raw) 1.2 eV/f.u.. Number 5: ΔE_f (raw) -0.4 eV/f.u.. Number 6: ΔE_f (raw) 0.0 eV/f.u.. Number 7: ΔE_f (raw) 1.8 eV/f.u.. Number 8: ΔE_f (raw) 1.9 eV/f.u..